The following is a DFT calculation (PBE-GGA) of Ce3Si2Ge after structural relaxation.

Summary:
**Formation energy (no corrections)**: -562 meV/atom
**E_tot**: -6.106 eV per atom

Lattice parameters (Å, degrees): 12.1029 4.1374 11.0674 90.00 90.00 90.00
Space group Pnma (No. 62)
One atom of each set of equivalent atoms:
Ce (0.0461, 0.2500, 0.1050) (multiplicity 4)
Ce (0.1200, 0.7500, 0.5674) (multiplicity 4)
Ce (0.2148, 0.2500, 0.7758) (multiplicity 4)
Si (0.0199, 0.7500, 0.2985) (multiplicity 4)
Si (0.1991, 0.7500, 0.9982) (multiplicity 4)
Ge (0.1269, 0.2500, 0.3678) (multiplicity 4)

***

The following is a DFT calculation (PBE-GGA) of Y3Co after structural relaxation.

Summary:
**E_form**: -59 meV/atom
**E_tot**: -6.684 eV per atom

Lattice parameters (Å, degrees): 11.5235 11.5235 6.1682 90.00 90.00 90.00
Space group I-42m (No. 121)
One atom of each set of equivalent atoms:
Y (0.0000, 0.3591, 0.0000) (multiplicity 8)
Y (0.0959, 0.0959, 0.7467) (multiplicity 8)
Y (0.2014, 0.2014, 0.3098) (multiplicity 8)
Co (0.0000, 0.2909, 0.5000) (multiplicity 8)

***

The following is a DFT calculation (PBE-GGA) of Nd3ThRh8 after structural relaxation.

Summary:
**E_form**: -688 meV/atom
**E_tot**: -7.399 eV per atom

Lattice parameters (Å, degrees): 5.4241 5.4241 26.5066 90.00 90.00 120.00
Space group R3m (No. 160, hexagonal axes)
One atom of each set of equivalent atoms:
Nd (0.0000, 0.0000, 0.0000) (multiplicity 3)
Nd (0.0000, 0.0000, 0.1242) (multiplicity 3)
Nd (0.0000, 0.0000, 0.6276) (multiplicity 3)
Th (0.0000, 0.0000, 0.5014) (multiplicity 3)
Rh (0.0000, 0.0000, 0.3133) (multiplicity 3)
Rh (0.0000, 0.0000, 0.8132) (multiplicity 3)
Rh (0.0015, 0.5008, 0.0640) (multiplicity 9)
Rh (0.1676, 0.3352, 0.8960) (multiplicity 9)

***

The following is a DFT calculation (PBE-GGA) of Pr2Sn2Pd after structural relaxation.

Summary:
**E_form**: -837 meV/atom
**E_tot**: -5.388 eV per atom

Lattice parameters (Å, degrees): 11.3892 4.6902 11.3227 90.00 117.27 90.00
Space group C2/m (No. 12)
One atom of each set of equivalent atoms:
Pr (0.0070, 0.0000, 0.3316) (multiplicity 4)
Pr (0.1837, 0.0000, 0.1128) (multiplicity 4)
Sn (0.0262, 0.5000, 0.8813) (multiplicity 4)
Sn (0.1508, 0.5000, 0.5617) (multiplicity 4)
Pd (0.2191, 0.5000, 0.3425) (multiplicity 4)

***

The following is a DFT calculation (PBE-GGA) of Cs2BaPmBr6 after structural relaxation.

Summary:
**Formation energy (no corrections)**: -1799 meV/atom
**E_tot**: -3.641 eV per atom

Lattice parameters (Å, degrees): 8.2414 12.1730 9.0436 90.00 90.00 90.00
Space group Pmmn (No. 59, origin choice 2)
One atom of each set of equivalent atoms:
Cs (0.2500, 0.0324, 0.2027) (multiplicity 4)
Ba (0.2500, 0.2500, 0.7196) (multiplicity 2)
Pm (0.2500, 0.7500, 0.7762) (multiplicity 2)
Br (0.0020, 0.2500, 0.4494) (multiplicity 4)
Br (0.0079, 0.7500, 0.0133) (multiplicity 4)
Br (0.2500, 0.5095, 0.7779) (multiplicity 4)

***

The following is a DFT calculation (PBE-GGA) of PmZrPt after structural relaxation.

Summary:
**E_form**: -757 meV/atom
**E_tot**: -7.203 eV per atom
**Offset from the most stable computed form**: 0.050 eV/atom

Lattice parameters (Å, degrees): 4.7608 11.7603 7.7345 90.00 90.00 90.00
Space group Amm2 (No. 38)
One atom of each set of equivalent atoms:
Pm (0.0000, 0.0000, 0.0000) (multiplicity 2)
Pm (0.0000, 0.1981, 0.3898) (multiplicity 4)
Zr (0.5000, 0.0000, 0.3182) (multiplicity 2)
Zr (0.5000, 0.1305, 0.7079) (multiplicity 4)
Pt (0.0000, 0.0000, 0.6280) (multiplicity 2)
Pt (0.5000, 0.1631, 0.0648) (multiplicity 4)